Below is an optimized crystal structure of CsU6Se12, with properties calculated at the PBE level.

Structure (POSCAR):
```
CsU6Se12
1.0
-6.570 3.823 3.870
-3.120 -3.044 -7.332
1.780 -6.857 4.751
Cs U Se
1 6 12
Direct
0.000 0.000 0.000
0.663 0.258 0.258
0.258 0.258 0.663
0.258 0.663 0.258
0.742 0.742 0.337
0.337 0.742 0.742
0.742 0.337 0.742
0.872 0.128 0.500
0.823 0.564 0.564
0.564 0.564 0.823
0.436 0.177 0.436
0.436 0.436 0.177
0.177 0.436 0.436
0.128 0.500 0.872
0.500 0.872 0.128
0.128 0.872 0.500
0.872 0.500 0.128
0.500 0.128 0.872
0.564 0.823 0.564
```

Calculated values
Uncorrected energy in eV/atom: -6.8684
M_tot in μB per cell: 13.00

***

Below is an optimized crystal structure of CrPbSe, with properties calculated at the PBE level.

Structure (POSCAR):
```
CrPbSe
1.0
-3.614 -2.043 1.198
3.696 -0.727 2.117
-0.956 3.341 2.816
Cr Pb Se
1 1 1
Direct
0.000 0.000 0.833
0.667 0.333 0.333
0.333 0.667 0.833
```

Calculated values
Uncorrected energy in eV/atom: -5.5458
M_tot in μB per cell: 3.82
Energy above the most stable polymorph in this dataset in meV per atom: 101

***

Below is an optimized crystal structure of LiFeNiP2, with properties calculated at the PBE level.

Structure (POSCAR):
```
LiFeNiP2
1.0
-0.042 -3.689 -0.296
3.569 0.038 -0.979
-0.530 1.453 5.119
Li Fe Ni P
1 1 1 2
Direct
0.000 0.000 0.000
0.750 0.250 0.500
0.250 0.750 0.500
0.619 0.619 0.239
0.381 0.381 0.761
```

Calculated values
Uncorrected energy in eV/atom: -5.9938
M_tot in μB per cell: 0.33
ΔE_f in eV per atom: -0.60

***

Below is an optimized crystal structure of Ag5Bi3Cl12, with properties calculated at the PBE level.

Structure (POSCAR):
```
Ag5Bi3Cl12
1.0
-6.879 6.596 -10.749
-8.097 0.450 11.858
12.495 6.641 2.479
Bi Ag Cl
12 20 48
Direct
0.750 0.375 0.125
0.875 0.750 0.125
0.375 0.750 0.625
0.250 0.125 0.375
0.875 0.125 0.250
0.375 0.625 0.250
0.625 0.375 0.750
0.125 0.875 0.750
0.750 0.875 0.625
0.625 0.250 0.375
0.125 0.250 0.875
0.250 0.625 0.875
0.125 0.375 0.250
0.000 0.500 0.000
0.000 0.000 0.000
0.375 0.250 0.125
0.500 0.000 0.500
0.500 0.500 0.000
0.125 0.750 0.375
0.750 0.125 0.875
0.750 0.625 0.375
0.375 0.125 0.750
0.625 0.875 0.250
0.500 0.500 0.500
0.500 0.000 0.000
0.000 0.000 0.500
0.250 0.375 0.625
0.250 0.875 0.125
0.000 0.500 0.500
0.875 0.250 0.625
0.625 0.750 0.875
0.875 0.625 0.750
0.709 0.150 0.042
0.333 0.542 0.392
0.958 0.350 0.291
0.542 0.209 0.150
0.559 0.709 0.667
0.958 0.608 0.167
0.333 0.791 0.441
0.108 0.941 0.150
0.608 0.958 0.667
0.709 0.559 0.167
0.791 0.458 0.350
0.833 0.892 0.042
0.150 0.709 0.542
0.350 0.392 0.059
0.059 0.892 0.350
0.441 0.150 0.608
0.059 0.167 0.209
0.458 0.667 0.108
0.833 0.941 0.291
0.150 0.441 0.108
0.350 0.958 0.791
0.608 0.650 0.441
0.892 0.833 0.542
0.791 0.333 0.941
0.392 0.350 0.559
0.108 0.167 0.458
0.209 0.667 0.059
0.167 0.059 0.709
0.650 0.042 0.209
0.850 0.559 0.892
0.542 0.333 0.892
0.559 0.850 0.392
0.941 0.833 0.791
0.941 0.108 0.650
0.850 0.291 0.458
0.167 0.108 0.958
0.650 0.608 0.941
0.392 0.042 0.333
0.291 0.441 0.833
0.209 0.542 0.650
0.892 0.059 0.850
0.667 0.209 0.559
0.458 0.791 0.850
0.042 0.392 0.833
0.441 0.291 0.333
0.042 0.650 0.709
0.667 0.458 0.608
0.291 0.850 0.958
```

Calculated values
Uncorrected energy in eV/atom: -2.9529
M_tot in μB per cell: 0.00

***

Below is an optimized crystal structure of NaAgPb, with properties calculated at the PBE level.

Structure (POSCAR):
```
NaAgPb
1.0
4.899 0.000 0.000
2.450 4.243 0.000
2.450 1.414 4.000
Pb Na Ag
1 1 1
Direct
0.000 0.000 0.000
0.500 0.500 0.500
0.250 0.250 0.250
```

Calculated values
Uncorrected energy in eV/atom: -2.5982
M_tot in μB per cell: 0.00
ΔE_f in eV per atom: 0.03

***

Below is an optimized crystal structure of Ac3Ge2Ir4, with properties calculated at the PBE level.

Structure (POSCAR):
```
Ac3Ge2Ir4
1.0
-0.199 -2.499 -3.571
3.825 0.652 1.996
-4.380 -21.843 15.528
Ac Ge Ir
6 4 8
Direct
0.333 0.667 0.264
0.333 0.667 0.587
0.333 0.667 0.914
0.333 0.667 0.070
0.333 0.667 0.419
0.333 0.667 0.746
0.000 0.000 0.183
0.000 0.000 0.503
0.000 0.000 0.830
0.667 0.333 0.151
0.667 0.333 0.503
0.667 0.333 0.830
0.667 0.333 0.995
0.667 0.333 0.338
0.667 0.333 0.667
0.000 0.000 0.339
0.000 0.000 0.667
0.000 0.000 0.995
```

Calculated values
Uncorrected energy in eV/atom: -6.9651
M_tot in μB per cell: 0.00
Energy above the most stable polymorph in this dataset in meV per atom: 31
ΔE_f in eV per atom: -0.63

***

Below is an optimized crystal structure of Dy3Ho2Ga4, with properties calculated at the PBE level.

Structure (POSCAR):
```
Dy3Ho2Ga4
1.0
4.454 0.000 0.000
-2.227 5.197 0.529
0.000 -0.560 9.615
Dy Ho Ga
3 2 4
Direct
0.372 0.744 0.605
0.000 0.000 0.000
0.628 0.256 0.395
0.331 0.662 0.227
0.669 0.338 0.773
0.693 0.386 0.079
0.075 0.150 0.607
0.925 0.850 0.393
0.307 0.614 0.921
```

Calculated values
Uncorrected energy in eV/atom: -4.3564
M_tot in μB per cell: 0.00
Energy above the most stable polymorph in this dataset in meV per atom: 103
ΔE_f in eV per atom: -0.46

***

Below is an optimized crystal structure of MgNb2Ni, with properties calculated at the PBE level.

Structure (POSCAR):
```
MgNb2Ni
1.0
0.075 -4.502 -0.472
-2.683 -2.590 2.566
-3.530 -2.141 -1.858
Ni Nb Mg
1 2 1
Direct
0.500 0.500 0.500
0.250 0.250 0.250
0.750 0.750 0.750
0.000 0.000 0.000
```

Calculated values
Uncorrected energy in eV/atom: -6.5442
M_tot in μB per cell: 0.00
Energy above the most stable polymorph in this dataset in meV per atom: 0
ΔE_f in eV per atom: 0.33

***

Below is an optimized crystal structure of KRbBe2Sn, with properties calculated at the PBE level.

Structure (POSCAR):
```
KRbBe2Sn
1.0
4.998 0.000 0.000
0.000 6.427 0.000
0.000 0.000 4.998
Be K Sn Rb
2 1 1 1
Direct
0.000 0.000 0.500
0.500 0.000 0.000
0.000 0.500 0.000
0.000 0.000 0.000
0.500 0.500 0.500
```

Calculated values
Uncorrected energy in eV/atom: -1.9563
M_tot in μB per cell: 0.00
ΔE_f in eV per atom: 0.75

***

Below is an optimized crystal structure of Sm3CdHg3, with properties calculated at the PBE level.

Structure (POSCAR):
```
Sm3CdHg3
1.0
4.812 0.000 -1.050
-0.179 3.539 -0.822
-0.143 0.654 10.896
Sm Cd Hg
3 1 3
Direct
0.303 0.803 0.606
0.695 0.195 0.389
0.003 0.003 0.006
0.432 0.432 0.863
0.148 0.648 0.297
0.853 0.353 0.707
0.566 0.566 0.132
```

Calculated values
Uncorrected energy in eV/atom: -2.6702
M_tot in μB per cell: 0.07
Energy above the most stable polymorph in this dataset in meV per atom: 0
ΔE_f in eV per atom: -0.39

***

Below is an optimized crystal structure of NiW, with properties calculated at the PBE level.

Structure (POSCAR):
```
NiW
1.0
3.611 0.000 0.000
-1.805 3.127 0.000
0.000 0.000 5.476
Ni W
2 2
Direct
0.333 0.667 0.250
0.667 0.333 0.750
0.000 0.000 0.000
0.000 0.000 0.500
```

Calculated values
Uncorrected energy in eV/atom: -8.4913
M_tot in μB per cell: 0.00
ΔE_f in eV per atom: 0.88

***

Below is an optimized crystal structure of Ho3Co2Si4, with properties calculated at the PBE level.

Structure (POSCAR):
```
Ho3Co2Si4
1.0
-3.060 2.436 -0.021
-1.446 -4.976 -2.313
-1.308 -1.578 7.733
Ho Co Si
3 2 4
Direct
0.666 0.333 0.659
0.000 0.000 0.000
0.334 0.667 0.341
0.607 0.214 0.277
0.393 0.786 0.723
0.718 0.436 0.068
0.282 0.564 0.932
0.944 0.889 0.620
0.056 0.111 0.380
```

Calculated values
Uncorrected energy in eV/atom: -6.2385
M_tot in μB per cell: 0.00
Energy above the most stable polymorph in this dataset in meV per atom: 52

***

Below is an optimized crystal structure of KSr2Tl, with properties calculated at the PBE level.

Structure (POSCAR):
```
KSr2Tl
1.0
-3.289 2.663 -3.436
-4.324 -1.566 2.927
-2.769 11.068 6.907
Sr Tl K
4 2 2
Direct
0.646 0.125 0.250
0.104 0.625 0.250
0.375 0.354 0.750
0.875 0.896 0.750
0.000 0.000 0.000
0.750 0.250 0.500
0.500 0.500 0.000
0.250 0.750 0.500
```

Calculated values
Uncorrected energy in eV/atom: -1.5600
M_tot in μB per cell: 0.00
ΔE_f in eV per atom: 0.15

***

Below is an optimized crystal structure of LaIn2Au2, with properties calculated at the PBE level.

Structure (POSCAR):
```
LaIn2Au2
1.0
-3.271 1.908 -3.000
-3.544 -2.074 2.545
-3.721 4.276 2.888
In Au La
2 2 1
Direct
0.372 0.372 0.256
0.628 0.628 0.744
0.750 0.250 0.500
0.250 0.750 0.500
0.000 0.000 0.000
```

Calculated values
Uncorrected energy in eV/atom: -3.8868
M_tot in μB per cell: 0.00
ΔE_f in eV per atom: -0.50

***

Below is an optimized crystal structure of LaSmY3Sc, with properties calculated at the PBE level.

Structure (POSCAR):
```
LaSmY3Sc
1.0
-0.074 -1.731 -4.720
7.561 0.159 2.502
-0.952 -9.437 3.476
La Sm Y Sc
2 2 6 2
Direct
0.497 0.994 0.750
0.503 0.006 0.250
0.000 0.000 0.500
0.000 0.000 0.000
0.668 0.337 0.500
0.332 0.663 0.500
0.332 0.663 0.000
0.668 0.337 0.000
0.171 0.342 0.750
0.829 0.658 0.250
0.831 0.662 0.750
0.169 0.338 0.250
```

Calculated values
Uncorrected energy in eV/atom: -5.8449
M_tot in μB per cell: 0.00
ΔE_f in eV per atom: 0.05

***

Below is an optimized crystal structure of Li3Np3VSe8, with properties calculated at the PBE level.

Structure (POSCAR):
```
Li3Np3VSe8
1.0
7.947 0.000 0.000
-3.973 6.882 -0.026
0.000 -4.564 6.541
Li Np V Se
3 3 1 8
Direct
0.000 0.000 0.000
0.000 0.500 0.000
0.500 0.500 0.000
0.500 0.000 0.500
0.500 0.500 0.500
0.000 0.500 0.500
0.000 0.000 0.500
0.246 0.492 0.238
0.754 0.508 0.762
0.764 0.529 0.260
0.236 0.471 0.740
0.764 0.996 0.260
0.236 0.004 0.740
0.231 0.996 0.260
0.769 0.004 0.740
```

Calculated values
Uncorrected energy in eV/atom: -6.5437
M_tot in μB per cell: 13.00

***

Below is an optimized crystal structure of NaSmCrN3, with properties calculated at the PBE level.

Structure (POSCAR):
```
NaSmCrN3
1.0
3.684 0.000 0.000
-1.842 6.714 0.085
0.000 -2.018 6.873
Na Sm Cr N
2 2 2 6
Direct
0.368 0.736 0.926
0.632 0.264 0.074
0.663 0.327 0.609
0.337 0.673 0.391
0.008 0.016 0.313
0.992 0.984 0.687
0.875 0.751 0.180
0.847 0.695 0.657
0.513 0.027 0.333
0.153 0.305 0.343
0.487 0.973 0.667
0.125 0.249 0.820
```

Calculated values
Uncorrected energy in eV/atom: -7.2441
M_tot in μB per cell: 0.00

***

Below is an optimized crystal structure of K3Tm3HfTe8, with properties calculated at the PBE level.

Structure (POSCAR):
```
K3Tm3HfTe8
1.0
8.693 0.000 0.000
-4.347 7.525 -0.032
0.000 -4.982 8.458
K Tm Hf Te
3 3 1 8
Direct
0.000 0.000 0.000
0.000 0.500 0.000
0.500 0.500 0.000
0.500 0.000 0.500
0.500 0.500 0.500
0.000 0.500 0.500
0.000 0.000 0.500
0.265 0.529 0.294
0.735 0.471 0.706
0.773 0.546 0.300
0.227 0.454 0.700
0.773 0.028 0.300
0.227 0.972 0.700
0.255 0.028 0.300
0.745 0.972 0.700
```

Calculated values
Uncorrected energy in eV/atom: -4.7055
M_tot in μB per cell: 0.00

***

Below is an optimized crystal structure of Tb3AlNi9B2, with properties calculated at the PBE level.

Structure (POSCAR):
```
Tb3AlNi9B2
1.0
5.400 0.000 0.000
-2.700 4.676 0.000
0.000 0.000 8.430
Tb Al Ni B
3 1 9 2
Direct
0.333 0.667 0.634
0.000 0.000 0.000
0.667 0.333 0.366
0.000 0.000 0.500
0.834 0.166 0.721
0.834 0.669 0.721
0.331 0.166 0.721
0.669 0.834 0.279
0.166 0.331 0.279
0.166 0.834 0.279
0.500 0.000 0.000
0.000 0.500 0.000
0.500 0.500 0.000
0.333 0.667 0.144
0.667 0.333 0.856
```

Calculated values
Uncorrected energy in eV/atom: -5.9526
M_tot in μB per cell: 0.00
ΔE_f in eV per atom: -0.42

***

Below is an optimized crystal structure of LaHoRuAu, with properties calculated at the PBE level.

Structure (POSCAR):
```
LaHoRuAu
1.0
5.066 0.000 0.000
2.533 4.387 0.000
2.533 1.462 4.136
Ru Au Ho La
1 1 1 1
Direct
0.250 0.250 0.250
0.750 0.750 0.750
0.000 0.000 0.000
0.500 0.500 0.500
```

Calculated values
Uncorrected energy in eV/atom: -6.0032
M_tot in μB per cell: 0.00
ΔE_f in eV per atom: -0.49